(1)
An optimized crystal structure of CsAc2Pb3S6. Source: Alexandria via LeMat-Bulk, functional PBE.

Structure (POSCAR):
```
CsAc2Pb3S6
1.0
4.3151 0.0000 0.0000
0.0000 9.3264 0.7324
-2.1576 -2.2896 9.1067
Pb Ac S Cs
3 2 6 1
direct
0.1631 0.8273 0.3261 Pb
0.5000 0.5000 0.0000 Pb
0.8369 0.1727 0.6739 Pb
0.8318 0.6667 0.6636 Ac
0.1682 0.3333 0.3364 Ac
0.3320 0.4399 0.6639 S
0.3124 0.8800 0.6248 S
0.6680 0.5601 0.3361 S
0.6876 0.1200 0.3752 S
0.9872 0.7129 0.9743 S
0.0128 0.2871 0.0257 S
0.5000 0.0000 0.0000 Cs
```

Summary:
- raw formation energy (eV per atom) = -1.15
- magnetic moment (μB/f.u.) = 0.3


(2)
An optimized crystal structure of LaTb2Ag. Source: Alexandria via LeMat-Bulk, functional PBE.

Structure (POSCAR):
```
LaTb2Ag
1.0
3.6389 0.0000 0.0000
1.8194 3.1514 0.0000
1.8194 1.0505 10.6371
Ag La Tb
1 1 2
direct
0.6666 0.6666 0.0001 Ag
0.4999 0.4999 0.5004 La
0.0714 0.0714 0.7857 Tb
0.2621 0.2621 0.2138 Tb
```

Summary:
- magnetic moment (μB/f.u.) = 0.0
- energy of formation (eV/atom) = 0.0119


(3)
An optimized crystal structure of Ac4Tl3. Source: Alexandria via LeMat-Bulk, functional PBE.

Structure (POSCAR):
```
Ac4Tl3
1.0
7.2115 0.0000 -1.8837
-3.5282 7.7054 -3.6764
-0.1552 0.0000 9.2364
Tl Ac
6 8
direct
0.1183 0.6076 0.8781 Tl
0.8817 0.3924 0.1219 Tl
0.5107 0.2705 0.3924 Tl
0.2403 0.1219 0.7295 Tl
0.7597 0.8781 0.2705 Tl
0.4893 0.7295 0.6076 Tl
0.0000 0.0000 0.0000 Ac
0.9118 0.6789 0.5335 Ac
0.2329 0.8547 0.3211 Ac
0.0882 0.3211 0.4665 Ac
0.6217 0.5335 0.8547 Ac
0.5000 0.0000 0.0000 Ac
0.3783 0.4665 0.1453 Ac
0.7671 0.1453 0.6789 Ac
```

Summary:
- magnetic moment (μB/f.u.) = 0.0
- energy of formation (eV/atom) = -0.2746


(4)
An optimized crystal structure of Ag5Rh. Source: Alexandria via LeMat-Bulk, functional PBE.

Structure (POSCAR):
```
Ag5Rh
1.0
-2.8688 7.0388 -1.3954
2.6586 -6.0300 4.0364
4.4414 1.7479 -0.3142
Ag Rh
5 1
direct
0.0031 0.9969 0.0000 Ag
0.6658 0.3342 0.0000 Ag
0.4454 0.5546 0.5000 Ag
0.7735 0.2265 0.5000 Ag
0.3352 0.6647 0.0000 Ag
0.1102 0.8898 0.5000 Rh
```

Summary:
- magnetic moment (μB/f.u.) = 0.5
- energy of formation (eV/atom) = 0.1382


(5)
An optimized crystal structure of TmGaSi. Source: Alexandria via LeMat-Bulk, functional PBE.

Structure (POSCAR):
```
TmGaSi
1.0
3.9519 0.0000 0.0000
0.0000 4.1025 0.0000
0.0000 -2.0512 3.5528
Tm Ga Si
1 1 1
direct
0.6650 0.6667 0.3333 Tm
0.2066 0.3333 0.6667 Ga
0.1283 0.0000 0.0000 Si
```

Summary:
- raw formation energy (eV per atom) = -0.56
- magnetic moment (μB/f.u.) = 0.0


(6)
An optimized crystal structure of NaScPd2. Source: Alexandria via LeMat-Bulk, functional PBE.

Structure (POSCAR):
```
NaScPd2
1.0
-2.8584 -4.4267 -5.0058
-1.2021 -5.0150 5.1213
-4.6974 -3.5677 0.5610
Pd Sc Na
4 2 2
direct
0.1079 0.6250 0.2500 Pd
0.8750 0.8921 0.7500 Pd
0.6421 0.1250 0.2500 Pd
0.3750 0.3579 0.7500 Pd
0.0000 0.0000 0.0000 Sc
0.7500 0.2500 0.5000 Sc
0.2500 0.7500 0.5000 Na
0.5000 0.5000 0.0000 Na
```

Summary:
- magnetic moment (μB/f.u.) = 0.0
- energy of formation (eV/atom) = -0.2484